P.
This record from Alexandria describes CoOsPt at its PBEsol-relaxed geometry. The functional is SCAN.

a b c (Å): 5.8322 5.8322 5.8322
angles (deg): 153.63 153.63 37.64
With the nearest neighbours (Å) after each atom.
Fractional coordinates of all 3 atoms:
Co1 0.0000 0.0000 0.0000  4 Os 2.49, 4 Co 2.66, 4 Pt 2.67
Os1 0.6472 0.6472 0.0000  4 Co 2.49, 4 Os 2.66, 4 Pt 2.75
Pt1 0.3284 0.3284 0.0000  4 Pt 2.66, 4 Co 2.67, 4 Os 2.75

Computed properties:
- V (Å³/cell) = 39.1
- DOS at the Fermi energy (states/eV/cell) = 2.61

***

Q.
This record from Alexandria describes CoOsPt at its PBEsol-relaxed geometry. The functional is SCAN.

a b c (Å): 4.5809 4.5809 4.5809
angles (deg): 146.27 132.48 59.53
With the nearest neighbours (Å) after each atom.
Fractional coordinates of all 3 atoms:
Co1 0.0000 0.0000 0.0000  5 Os 2.56-2.80, 5 Pt 2.58-2.67, 2 Co 2.66
Os1 0.6482 0.6482 0.0000  5 Co 2.56-2.80, 5 Pt 2.57-2.67, 2 Os 2.66
Pt1 0.3247 0.3247 0.0000  5 Os 2.57-2.67, 5 Co 2.58-2.67, 2 Pt 2.66

Computed properties:
- V (Å³/cell) = 39.0
- DOS at the Fermi energy (states/eV/cell) = 2.79

***

Which one sits at the top of the stability order? P does.

***

P.
This record from Alexandria describes Co2ReOs at its PBEsol-relaxed geometry. The functional is SCAN.

a b c (Å): 4.4634 4.4634 2.5852
angles (deg): 90.00 90.00 109.29
With the nearest neighbours (Å) after each atom.
Fractional coordinates of all 4 atoms:
Co1 0.0000 0.5000 0.0000  4 Re 2.58, 4 Os 2.58, 4 Co 2.58-2.59
Co2 0.5000 0.0000 0.0000  4 Re 2.58, 4 Os 2.58, 4 Co 2.58-2.59
Re1 0.0000 0.0000 0.5000  8 Co 2.58, 2 Os 2.58, 2 Re 2.59
Os1 0.5000 0.5000 0.5000  8 Co 2.58, 2 Re 2.58, 2 Os 2.59

Computed properties:
- V (Å³/cell) = 48.6
- DOS at the Fermi energy (states/eV/cell) = 3.04

***

Q.
This record from Alexandria describes Co2ReOs at its PBEsol-relaxed geometry. The functional is SCAN.

a b c (Å): 4.4699 4.4699 4.4699
angles (deg): 131.63 131.63 70.82
With the nearest neighbours (Å) after each atom.
Fractional coordinates of all 4 atoms:
Co1 0.0000 0.0000 0.0000  4 Co 2.58, 4 Os 2.58, 4 Re 2.59
Co2 0.7500 0.2500 0.5000  4 Re 2.58, 4 Co 2.58, 4 Os 2.59
Re1 0.5000 0.5000 0.0000  8 Co 2.58-2.59, 4 Os 2.58
Os1 0.2500 0.7500 0.5000  4 Re 2.58, 8 Co 2.58-2.59

Computed properties:
- V (Å³/cell) = 48.9
- DOS at the Fermi energy (states/eV/cell) = 3.22

***

R.
This record from Alexandria describes Co2ReOs at its PBEsol-relaxed geometry. The functional is SCAN.

a b c (Å): 3.9471 4.9023 4.9023
angles (deg): 30.49 90.00 90.00
With the nearest neighbours (Å) after each atom.
Fractional coordinates of all 4 atoms:
Co1 0.0000 0.0000 0.0000  4 Co 2.33-2.58, 3 Os 2.53-2.55, 4 Re 2.56
Co2 0.5000 0.1310 0.1310  4 Co 2.33-2.58, 3 Re 2.50-2.58, 4 Os 2.54
Re1 0.5000 0.3952 0.3952  7 Co 2.50-2.58, 2 Re 2.58
Os1 0.0000 0.7323 0.7323  7 Co 2.53-2.55, 2 Os 2.58, 4 Re 2.82

Computed properties:
- V (Å³/cell) = 48.1
- DOS at the Fermi energy (states/eV/cell) = 2.94

***

S.
This record from Alexandria describes Co2ReOs at its PBEsol-relaxed geometry. The functional is SCAN.

a b c (Å): 4.4656 4.4656 4.4656
angles (deg): 131.71 131.71 70.69
With the nearest neighbours (Å) after each atom.
Fractional coordinates of all 4 atoms:
Co1 0.2500 0.7500 0.5000  4 Os 2.58, 4 Re 2.58, 4 Co 2.58
Co2 0.7500 0.2500 0.5000  4 Os 2.58, 4 Re 2.58, 4 Co 2.58
Re1 0.0000 0.0000 0.0000  8 Co 2.58, 4 Os 2.58
Os1 0.5000 0.5000 0.0000  8 Co 2.58, 4 Re 2.58

Computed properties:
- V (Å³/cell) = 48.6
- DOS at the Fermi energy (states/eV/cell) = 2.92

***

Which one sits at the top of the stability order? Q does.

***

P.
This record from Alexandria describes CoReOs at its PBEsol-relaxed geometry. The functional is SCAN.

a b c (Å): 3.9479 3.9479 3.9479
angles (deg): 60.00 60.00 60.00
With the nearest neighbours (Å) after each atom.
Fractional coordinates of all 3 atoms:
Co1 0.0000 0.0000 0.0000  4 Re 2.42, 4 Os 2.42
Re1 0.2500 0.2500 0.2500  4 Co 2.42
Os1 0.7500 0.7500 0.7500  4 Co 2.42

Computed properties:
- V (Å³/cell) = 43.5
- DOS at the Fermi energy (states/eV/cell) = 4.49

***

Q.
This record from Alexandria describes CoReOs at its PBEsol-relaxed geometry. The functional is SCAN.

a b c (Å): 4.0336 4.0336 4.0336
angles (deg): 60.00 60.00 60.00
With the nearest neighbours (Å) after each atom.
Fractional coordinates of all 3 atoms:
Co1 0.0000 0.0000 0.0000  4 Re 2.47
Re1 0.2500 0.2500 0.2500  4 Co 2.47, 4 Os 2.47
Os1 0.5000 0.5000 0.5000  4 Re 2.47

Computed properties:
- V (Å³/cell) = 46.4
- DOS at the Fermi energy (states/eV/cell) = 1.46

***

Which one sits at the top of the stability order? Q does.

***

P.
This record from Alexandria describes CoOsRh at its PBEsol-relaxed geometry. The functional is SCAN.

a b c (Å): 3.9170 3.9170 3.9170
angles (deg): 60.00 60.00 60.00
With the nearest neighbours (Å) after each atom.
Fractional coordinates of all 3 atoms:
Co1 0.0000 0.0000 0.0000  4 Rh 2.40, 4 Os 2.40
Os1 0.2500 0.2500 0.2500  4 Co 2.40
Rh1 0.7500 0.7500 0.7500  4 Co 2.40

Computed properties:
- V (Å³/cell) = 42.5
- DOS at the Fermi energy (states/eV/cell) = 3.04

***

Q.
This record from Alexandria describes CoOsRh at its PBEsol-relaxed geometry. The functional is SCAN.

a b c (Å): 4.5054 4.5054 4.5054
angles (deg): 146.07 132.22 59.89
With the nearest neighbours (Å) after each atom.
Fractional coordinates of all 3 atoms:
Co1 0.0000 0.0000 0.0000  5 Os 2.56-2.69, 5 Rh 2.57-2.62, 2 Co 2.63
Os1 0.6555 0.6555 0.0000  5 Rh 2.55-2.62, 5 Co 2.56-2.69, 2 Os 2.63
Rh1 0.3287 0.3287 0.0000  5 Os 2.55-2.62, 5 Co 2.57-2.62, 2 Rh 2.63

Computed properties:
- V (Å³/cell) = 37.5
- DOS at the Fermi energy (states/eV/cell) = 2.97

***

Which one sits at the top of the stability order? Q does.

***

P.
This record from Alexandria describes CoOs2Rh at its PBEsol-relaxed geometry. The functional is SCAN.

a b c (Å): 2.6329 2.6329 7.4277
angles (deg): 90.00 90.00 90.00
With the nearest neighbours (Å) after each atom.
Fractional coordinates of all 4 atoms:
Co1 0.0000 0.0000 0.0000  8 Os 2.56, 4 Co 2.63
Os1 0.5000 0.5000 0.2373  4 Co 2.56, 4 Os 2.63, 4 Rh 2.70
Os2 0.5000 0.5000 0.7627  4 Co 2.56, 4 Os 2.63, 4 Rh 2.70
Rh1 0.0000 0.0000 0.5000  4 Rh 2.63, 8 Os 2.70

Computed properties:
- V (Å³/cell) = 51.5
- DOS at the Fermi energy (states/eV/cell) = 3.38

***

Q.
This record from Alexandria describes CoOs2Rh at its PBEsol-relaxed geometry. The functional is SCAN.

a b c (Å): 2.6330 2.6330 8.8290
angles (deg): 90.00 90.00 118.10
With the nearest neighbours (Å) after each atom.
Fractional coordinates of all 4 atoms:
Co1 0.0000 0.0000 0.0000  2 Os 2.51, 2 Rh 2.52, 6 Co 2.63-2.71
Os1 0.0000 0.0000 0.5000  8 Os 2.63-2.71, 2 Rh 2.66
Os2 0.5000 0.5000 0.7600  2 Co 2.51, 8 Os 2.63-2.71
Rh1 0.5000 0.5000 0.2401  2 Co 2.52, 6 Rh 2.63-2.71, 2 Os 2.66

Computed properties:
- V (Å³/cell) = 54.0
- DOS at the Fermi energy (states/eV/cell) = 3.83

***

Which one sits at the top of the stability order? P does.

***

P.
This record from Alexandria describes CoOsRu2 at its PBEsol-relaxed geometry. The functional is SCAN.

a b c (Å): 4.5252 4.5252 4.5435
angles (deg): 99.53 99.53 33.83
With the nearest neighbours (Å) after each atom.
Fractional coordinates of all 4 atoms:
Co1 0.0000 0.0000 0.0000  3 Os 2.59-2.61, 7 Ru 2.60-2.63, 2 Co 2.63
Os1 0.2524 0.2524 0.7593  7 Ru 2.57-2.68, 3 Co 2.59-2.61, 2 Os 2.63
Ru1 0.5009 0.5009 0.5010  5 Ru 2.62-2.63, 4 Co 2.62-2.63, 3 Os 2.62-2.64
Ru2 0.7501 0.7501 0.2455  4 Os 2.57-2.68, 3 Co 2.60-2.61, 5 Ru 2.62-2.63

Computed properties:
- V (Å³/cell) = 51.0
- DOS at the Fermi energy (states/eV/cell) = 3.67

***

Q.
This record from Alexandria describes CoOsRu2 at its PBEsol-relaxed geometry. The functional is SCAN.

a b c (Å): 4.2061 4.2061 4.2061
angles (deg): 60.00 60.00 60.00
With the nearest neighbours (Å) after each atom.
Fractional coordinates of all 4 atoms:
Co1 0.0000 0.0000 0.0000  8 Ru 2.58
Os1 0.5000 0.5000 0.5000  8 Ru 2.58
Ru1 0.2500 0.2500 0.2500  4 Co 2.58, 4 Os 2.58
Ru2 0.7500 0.7500 0.7500  4 Co 2.58, 4 Os 2.58

Computed properties:
- V (Å³/cell) = 52.6
- DOS at the Fermi energy (states/eV/cell) = 3.78

***

Which one sits at the top of the stability order? P does.

***

P.
This record from Alexandria describes CoSb2Os at its PBEsol-relaxed geometry. The functional is SCAN.

a b c (Å): 4.5559 4.5559 4.5559
angles (deg): 60.00 60.00 60.00
With the nearest neighbours (Å) after each atom.
Fractional coordinates of all 4 atoms:
Co1 0.0000 0.0000 0.0000  8 Sb 2.79
Sb1 0.2500 0.2500 0.2500  4 Os 2.79, 4 Co 2.79
Sb2 0.7500 0.7500 0.7500  4 Co 2.79, 4 Os 2.79
Os1 0.5000 0.5000 0.5000  8 Sb 2.79

Computed properties:
- V (Å³/cell) = 66.9
- DOS at the Fermi energy (states/eV/cell) = 1.07

***

Q.
This record from Alexandria describes CoSb2Os at its PBEsol-relaxed geometry. The functional is SCAN.

a b c (Å): 8.0268 8.0268 8.0268
angles (deg): 22.62 22.62 22.62
With the nearest neighbours (Å) after each atom.
Fractional coordinates of all 4 atoms:
Co1 0.0000 0.0000 0.0000  6 Sb 2.60
Sb1 0.2542 0.2542 0.2542  3 Co 2.60, 3 Os 2.74
Sb2 0.7458 0.7458 0.7458  3 Co 2.60, 3 Os 2.74
Os1 0.5000 0.5000 0.5000  6 Sb 2.74

Computed properties:
- V (Å³/cell) = 67.1
- DOS at the Fermi energy (states/eV/cell) = 2.43

***

Which one sits at the top of the stability order? P does.

***

P.
This record from Alexandria describes ScCo2Os at its PBEsol-relaxed geometry. The functional is SCAN.

a b c (Å): 4.2403 4.2403 4.2403
angles (deg): 60.00 60.00 60.00
With the nearest neighbours (Å) after each atom.
Fractional coordinates of all 4 atoms:
Sc1 0.0000 0.0000 0.0000  4 Co 2.60, 4 Os 2.60
Co1 0.5000 0.5000 0.5000  4 Co 2.60, 4 Os 2.60
Co2 0.7500 0.7500 0.7500  4 Co 2.60, 4 Sc 2.60
Os1 0.2500 0.2500 0.2500  4 Co 2.60, 4 Sc 2.60

Computed properties:
- V (Å³/cell) = 53.9
- DOS at the Fermi energy (states/eV/cell) = 2.52

***

Q.
This record from Alexandria describes ScCo2Os at its PBEsol-relaxed geometry. The functional is SCAN.

a b c (Å): 3.0712 3.0712 5.7526
angles (deg): 90.00 90.00 90.00
With the nearest neighbours (Å) after each atom.
Fractional coordinates of all 4 atoms:
Sc1 0.0000 0.0000 0.0000  8 Co 2.71, 2 Os 2.88
Co1 0.5000 0.5000 0.2827  1 Co 2.50, 4 Os 2.51, 4 Sc 2.71
Co2 0.5000 0.5000 0.7173  1 Co 2.50, 4 Os 2.51, 4 Sc 2.71
Os1 0.0000 0.0000 0.5000  8 Co 2.51

Computed properties:
- V (Å³/cell) = 54.3
- DOS at the Fermi energy (states/eV/cell) = 2.57

***

R.
This record from Alexandria describes ScCo2Os at its PBEsol-relaxed geometry. The functional is SCAN.

a b c (Å): 4.0603 4.8661 4.8661
angles (deg): 32.58 90.00 90.00
With the nearest neighbours (Å) after each atom.
Fractional coordinates of all 4 atoms:
Sc1 0.0000 0.0000 0.0000  7 Co 2.46-2.60, 2 Sc 2.73
Co1 0.0000 0.7368 0.7368  3 Sc 2.46-2.60, 4 Co 2.50-2.73, 4 Os 2.53
Co2 0.5000 0.5805 0.5805  4 Co 2.50-2.73, 3 Os 2.51-2.56, 4 Sc 2.56
Os1 0.5000 0.3065 0.3065  7 Co 2.51-2.56, 2 Os 2.73

Computed properties:
- V (Å³/cell) = 51.8
- DOS at the Fermi energy (states/eV/cell) = 2.53

***

Which one sits at the top of the stability order? Q does.